VASP calculation (PBE-GGA) on crystalline Ac4SbTePb2 at its relaxed geometry.

a b c (Å): 8.261 4.760 8.547
angles (deg): 90.00 108.76 90.00
Element x y z (fractional)
Ac (0.244, 0.000, 0.246)
Ac (0.245, 0.500, 0.749)
Ac (0.755, 0.500, 0.251)
Ac (0.756, 0.000, 0.754)
Sb (0.000, 0.500, 0.000)
Te (0.500, 0.000, 0.000)
Pb (0.000, 0.000, 0.500)
Pb (0.500, 0.500, 0.500)

Output
Space group   P2/m (10)
Raw formation energy   -0.93 eV per atom
DOS(E_F)   5.8 states/eV per cell
Raw total energy   -4.818 eV per atom